(1)
# Ho4GeBiTe2 (PBE-GGA, relaxed)
# E_form (uncorrected): -1.132 eV/atom
data_Ho4GeBiTe2
_chemical_formula_sum 'Ho4 Ge1 Bi1 Te2'
_space_group_name_H-M_alt 'P 1 2/m 1'
_space_group_IT_number 10
_cell_length_a 7.509
_cell_length_b 4.313
_cell_length_c 7.536
_cell_angle_alpha 90.00
_cell_angle_beta 109.26
_cell_angle_gamma 90.00
loop_
_space_group_symop_operation_xyz
'x,y,z'
'-x,-y,-z'
'-x,y,-z'
'x,-y,z'
loop_
_atom_site_label
_atom_site_type_symbol
_atom_site_fract_x
_atom_site_fract_y
_atom_site_fract_z
Ho1 Ho 0.225 0.000 0.227
Ho2 Ho 0.234 0.500 0.763
Ge1 Ge 0.000 0.500 0.000
Bi1 Bi 0.000 0.000 0.500
Te1 Te 0.500 0.000 0.000
Te2 Te 0.500 0.500 0.500

***

(2)
# Pm2RhCl (PBE-GGA, relaxed)
# E_form (uncorrected): -1.011 eV/atom
# Relative energy among the computed polymorphs: 170 meV per atom
data_Pm2RhCl
_chemical_formula_sum 'Pm2 Rh1 Cl1'
_space_group_name_H-M_alt 'P 4/m m m'
_space_group_IT_number 123
_space_group_name_Hall '-P 4 2'
_cell_length_a 3.424
_cell_length_b 3.424
_cell_length_c 8.092
_cell_angle_alpha 90.00
_cell_angle_beta 90.00
_cell_angle_gamma 90.00
loop_
_atom_site_label
_atom_site_type_symbol
_atom_site_fract_x
_atom_site_fract_y
_atom_site_fract_z
Pm1 Pm 0.000 0.000 0.218
Rh1 Rh 0.500 0.500 0.000
Cl1 Cl 0.500 0.500 0.500